# Li2NiRu

Crystalline Li2NiRu at its relaxed geometry (PBE, Alexandria via LeMat-Bulk).

Summary:
- Energy of formation from the pure elements: 0.20 eV/atom
- Crystal system: orthorhombic
- Energy relative to the lowest polymorph listed for this composition: 153 meV per atom
- Space group: Imm2, No. 44
- Electronic total energy: -0.332 Ry/atom

Lattice parameters (Å, degrees): 5.088 5.088 5.088 150.57 128.45 60.48
Fractional positions:
Li (0.000, 0.000, 0.000)
Li (0.747, 0.247, 0.500)
Ni (0.241, 0.741, 0.500)
Ru (0.478, 0.478, 0.000)

=====

# SrSn4

Crystalline SrSn4 at its relaxed geometry (PBE, Alexandria via LeMat-Bulk).

Summary:
- Energy of formation from the pure elements: -0.32 eV/atom
- Crystal system: orthorhombic
- Space group: Cmcm, No. 63
- Electronic total energy: -0.283 Ry/atom

Lattice parameters (Å, degrees): 9.036 9.036 7.078 90.00 90.00 149.51
Fractional positions:
Sr (0.112, 0.888, 0.750)
Sr (0.888, 0.112, 0.250)
Sn (0.091, 0.909, 0.250)
Sn (0.303, 0.697, 0.542)
Sn (0.303, 0.697, 0.958)
Sn (0.500, 0.500, 0.000)
Sn (0.500, 0.500, 0.500)
Sn (0.697, 0.303, 0.042)
Sn (0.697, 0.303, 0.458)
Sn (0.909, 0.091, 0.750)

=====

# GdInCoNi

Crystalline GdInCoNi at its relaxed geometry (PBE, Alexandria via LeMat-Bulk).

Summary:
- Energy of formation from the pure elements: -0.19 eV/atom
- Crystal system: cubic
- Space group: F-43m, No. 216
- Electronic total energy: -0.560 Ry/atom

Lattice parameters (Å, degrees): 4.615 4.615 4.615 60.00 60.00 60.00
Fractional positions:
Gd (0.000, 0.000, 0.000)
In (0.500, 0.500, 0.500)
Co (0.250, 0.250, 0.250)
Ni (0.750, 0.750, 0.750)

=====

- What is the electronic total energy in the second record?
  -0.283 Ry/atom